No. 1
This record from Alexandria via LeMat-Bulk describes a relaxed structure of Mg2NbI8. The functional is PBE-GGA.

Output
Its volume is 500.5 Å³ per cell. As for the formation energy without anion corrections: -7.355 eV per formula unit. The crystal system is monoclinic.

a b c (Å): 7.073 9.220 9.220
angles (deg): 56.35 89.79 89.78
Site moments in Bohr magnetons follow the coordinates.
Fractional coordinates of all 11 atoms:
I (0.677, 0.681, 0.681)  -0.01
Mg (0.402, 0.160, 0.160)  0.01
I (0.759, 0.706, 0.168)  -0.01
I (0.197, 0.848, 0.848)  -0.02
Mg (0.598, 0.840, 0.840)  0.01
I (0.241, 0.832, 0.294)  -0.01
I (0.241, 0.294, 0.832)  -0.01
Nb (0.000, 0.000, 0.000)  0.91
I (0.803, 0.152, 0.152)  -0.02
I (0.323, 0.319, 0.319)  -0.01
I (0.759, 0.168, 0.706)  -0.01

No. 2
This record from Alexandria via LeMat-Bulk describes a relaxed structure of MgNb2I. The functional is PBE-GGA.

Output
Its volume is 173.3 Å³ per cell. As for the formation energy without anion corrections: 2.452 eV per formula unit. The crystal system is tetragonal.

a b c (Å): 4.072 4.072 10.839
angles (deg): 79.17 79.17 90.00
Fractional coordinates of all 8 atoms:
Mg (0.500, 0.500, 0.000)
Mg (0.250, 0.750, 0.500)
Nb (0.875, 0.868, 0.750)
Nb (0.618, 0.125, 0.250)
I (0.000, 0.000, 0.000)
I (0.750, 0.250, 0.500)
Nb (0.132, 0.625, 0.250)
Nb (0.375, 0.382, 0.750)